Entry from Alexandria: a relaxed HgGe4 crystal (PBE).

Values from the calculation:
The energy of formation is 1004 meV per atom. The calculation puts the density of states at the Fermi level at 2.45 states/eV/f.u. The final energy comes out at -2.75 eV per atom.

Unit cell a=5.188 b=5.188 c=5.188 alpha=90.00 beta=90.00 gamma=90.00
Atoms (fractional coordinates):
Hg1 0.000 0.000 0.000
Ge1 0.000 0.000 0.500
Ge2 0.000 0.500 0.000
Ge3 0.500 0.000 0.000
Ge4 0.500 0.500 0.500